[1]
Density functional theory data (PBE-GGA) for a relaxed structure of Ba3Tl.

abc: 7.190 7.190 7.190
angles: 90.00 90.00 90.00
Space group Pm-3n (No. 223)
Symmetry-distinct sites (fractional):
Ba (0.000, 0.250, 0.500) (multiplicity 6)
Tl (0.000, 0.000, 0.000) (multiplicity 2)

Calculated values
calculated total energy = -2.11 eV/atom
crystal system = cubic

---

[2]
Density functional theory data (PBE-GGA) for a relaxed structure of BaTl.

abc: 6.1493 6.1493 7.1665
angles: 90.00 90.00 120.00
Space group P6_3/mmc (No. 194)
Symmetry-distinct sites (fractional):
Ba (0.3333, 0.6667, 0.2500) (multiplicity 2)
Tl (0.3333, 0.6667, 0.7500) (multiplicity 2)

Calculated values
calculated total energy = -2.02 eV/atom
crystal system = hexagonal

---

[3]
Density functional theory data (PBE-GGA) for a relaxed structure of Ba5Tl.

abc: 15.247 4.426 10.683
angles: 90.00 112.77 90.00
Space group Cm (No. 8)
Symmetry-distinct sites (fractional):
Ba (0.000, 0.000, 0.000) (multiplicity 2)
Ba (0.030, 0.000, 0.409) (multiplicity 2)
Ba (0.161, 0.500, 0.778) (multiplicity 2)
Ba (0.293, 0.000, 0.147) (multiplicity 2)
Ba (0.324, 0.000, 0.557) (multiplicity 2)
Tl (0.163, 0.500, 0.279) (multiplicity 2)

Calculated values
polymorph energy (0 for the lowest one) = 0.0 meV per atom
calculated total energy = -2.13 eV/atom
crystal system = monoclinic

---

[4]
Density functional theory data (PBE-GGA) for a relaxed structure of BaTl.

abc: 5.4040 5.4040 20.5699
angles: 90.00 90.00 120.00
Space group P-3m1 (No. 164)
Symmetry-distinct sites (fractional):
Ba (0.0000, 0.0000, 0.0987) (multiplicity 2)
Ba (0.3333, 0.6667, 0.2342) (multiplicity 2)
Ba (0.3333, 0.6667, 0.4318) (multiplicity 2)
Tl (0.0000, 0.0000, 0.3062) (multiplicity 2)
Tl (0.3333, 0.6667, 0.0266) (multiplicity 2)
Tl (0.3333, 0.6667, 0.6405) (multiplicity 2)

Calculated values
calculated total energy = -2.44 eV/atom
crystal system = trigonal

---

[5]
Density functional theory data (PBE-GGA) for a relaxed structure of Ba2Tl.

abc: 8.609 8.699 4.469
angles: 90.00 90.00 90.00
Space group Pnnm (No. 58)
Symmetry-distinct sites (fractional):
Ba (0.160, 0.227, 0.000) (multiplicity 4)
Tl (0.000, 0.500, 0.500) (multiplicity 2)

Calculated values
calculated total energy = -2.24 eV/atom
crystal system = orthorhombic

---

[6]
Density functional theory data (PBE-GGA) for a relaxed structure of Ba5Tl.

abc: 7.6933 7.6933 7.2599
angles: 90.00 90.00 120.00
Space group P6/mmm (No. 191)
Symmetry-distinct sites (fractional):
Ba (0.0000, 0.5000, 0.0000) (multiplicity 3)
Ba (0.3333, 0.6667, 0.5000) (multiplicity 2)
Tl (0.0000, 0.0000, 0.5000) (multiplicity 1)

Calculated values
polymorph energy (0 for the lowest one) = 449.4 meV per atom
calculated total energy = -1.68 eV/atom
crystal system = hexagonal

---

[7]
Density functional theory data (PBE-GGA) for a relaxed structure of BaTl.

abc: 4.3396 4.3396 16.0537
angles: 90.00 90.00 120.00
Space group R-3m (No. 166, hexagonal axes)
Symmetry-distinct sites (fractional):
Ba (0.0000, 0.0000, 0.0000) (multiplicity 3)
Tl (0.0000, 0.0000, 0.5000) (multiplicity 3)

Calculated values
calculated total energy = -2.37 eV/atom
crystal system = trigonal

---

[8]
Density functional theory data (PBE-GGA) for a relaxed structure of BaTl.

abc: 12.604 10.455 7.438
angles: 90.00 90.00 90.00
Space group Pbcm (No. 57)
Symmetry-distinct sites (fractional):
Ba (0.115, 0.250, 0.000) (multiplicity 4)
Ba (0.194, 0.634, 0.250) (multiplicity 4)
Ba (0.371, 0.042, 0.250) (multiplicity 4)
Tl (0.068, 0.543, 0.750) (multiplicity 4)
Tl (0.377, 0.115, 0.750) (multiplicity 4)
Tl (0.434, 0.750, 0.000) (multiplicity 4)

Calculated values
calculated total energy = -2.47 eV/atom
crystal system = orthorhombic

---

[9]
Density functional theory data (PBE-GGA) for a relaxed structure of BaTl.

abc: 7.255 7.255 7.255
angles: 90.00 90.00 90.00
Space group Fm-3m (No. 225)
Symmetry-distinct sites (fractional):
Ba (0.000, 0.000, 0.000) (multiplicity 4)
Tl (0.000, 0.000, 0.500) (multiplicity 4)

Calculated values
calculated total energy = -2.25 eV/atom
crystal system = cubic

---

[10]
Density functional theory data (PBE-GGA) for a relaxed structure of Ba2Tl.

abc: 4.288 20.661 6.401
angles: 90.00 90.00 90.00
Space group Cmcm (No. 63)
Symmetry-distinct sites (fractional):
Ba (0.000, 0.074, 0.250) (multiplicity 4)
Ba (0.000, 0.209, 0.750) (multiplicity 4)
Tl (0.000, 0.428, 0.250) (multiplicity 4)

Calculated values
calculated total energy = -2.33 eV/atom
crystal system = orthorhombic

---

[11]
Density functional theory data (PBE-GGA) for a relaxed structure of BaTl.

abc: 15.107 5.064 7.560
angles: 90.00 119.89 90.00
Space group Cm (No. 8)
Symmetry-distinct sites (fractional):
Ba (0.000, 0.000, 0.000) (multiplicity 2)
Ba (0.117, 0.500, 0.617) (multiplicity 2)
Ba (0.309, 0.000, 0.105) (multiplicity 2)
Tl (0.188, 0.500, 0.239) (multiplicity 2)
Tl (0.308, 0.000, 0.596) (multiplicity 2)
Tl (0.429, 0.500, 0.481) (multiplicity 2)

Calculated values
calculated total energy = -2.46 eV/atom
crystal system = monoclinic

---

[12]
Density functional theory data (PBE-GGA) for a relaxed structure of Ba2Tl.

abc: 6.078 6.078 4.093
angles: 90.00 90.00 90.00
Space group P4/mmm (No. 123)
Symmetry-distinct sites (fractional):
Ba (0.000, 0.500, 0.000) (multiplicity 2)
Tl (0.000, 0.000, 0.500) (multiplicity 1)

Calculated values
calculated total energy = -2.30 eV/atom
crystal system = tetragonal

---

How do the records compare in mass density? In the order shown, they have 5.5 4.8 4.5 6.5 4.8 4.0 6.5 6.9 5.9 5.6 6.8 5.3 g/cm³.
How do the records compare in DFT formation energy? In the order shown, they have -0.3 0.3 -0.8 -0.6 -0.5 1.9 -0.5 -0.7 -0.2 -0.8 -0.6 -0.7 eV per formula unit.